Crystalline SrZrAl3 at its relaxed geometry. Source: Alexandria, functional PBE.

Cell and atoms, written as POSCAR:
```
SrZrAl3
1.0
5.2505 0.0000 0.0000
0.0000 5.2505 0.0000
0.0000 0.0000 5.2505
Sr Zr Al
1 1 3
Direct
0.0000 0.0000 0.0000
0.5000 0.5000 0.5000
0.0000 0.0000 0.5000
0.0000 0.5000 0.0000
0.5000 0.0000 0.0000
```

Properties
Relative energy among the computed polymorphs: 1241 meV per atom
Crystal system: cubic
Total moment: 0.00 μB per formula unit
Volume: 28.9 A^3/atom
Formation enthalpy at 0 K: 1.526 eV/atom
E: -2.765 eV/atom